1.
First-principles (GGA-PBE) data for a geometry-optimized Ho8Cd2Ga structure, as listed in Alexandria via LeMat-Bulk.

Summary:
Energy of formation, meV/atom: -177
Crystal system: monoclinic
E, eV per atom: -3.95
Fermi-level density of states, states/eV/atom: 0.88

Cell lengths 9.307, 9.307, 6.927 Å; angles 105.92, 105.92, 32.45 degrees
Fractional positions:
Ho1 0.020 0.020 0.271
Ho2 0.199 0.199 0.800
Ho3 0.339 0.339 0.534
Ho4 0.408 0.408 0.048
Ho5 0.592 0.592 0.952
Ho6 0.661 0.661 0.466
Ho7 0.801 0.801 0.200
Ho8 0.980 0.980 0.729
Cd1 0.184 0.184 0.218
Cd2 0.816 0.816 0.782
Ga1 0.500 0.500 0.500

=====

2.
First-principles (GGA-PBE) data for a geometry-optimized KNbCd structure, as listed in Alexandria via LeMat-Bulk.

Summary:
Energy of formation, meV/atom: 1135
Crystal system: hexagonal
E, eV per atom: -2.89
Fermi-level density of states, states/eV/atom: 0.63
Polymorph energy (0 for the lowest one), eV/atom: 0.895

Cell lengths 5.336, 5.336, 6.045 Å; angles 90.00, 90.00, 120.00 degrees
Fractional positions:
K1 0.000 0.000 0.000
K2 0.000 0.000 0.500
Nb1 0.333 0.667 0.250
Nb2 0.667 0.333 0.750
Cd1 0.333 0.667 0.750
Cd2 0.667 0.333 0.250

=====

3.
First-principles (GGA-PBE) data for a geometry-optimized ZnAuCl2 structure, as listed in Alexandria via LeMat-Bulk.

Summary:
Crystal system: monoclinic
E, eV per atom: -2.33
Fermi-level density of states, states/eV/atom: 0.48
Polymorph energy (0 for the lowest one), eV/atom: 0.181

Cell lengths 5.594, 3.234, 6.814 Å; angles 90.00, 114.13, 90.00 degrees
Fractional positions:
Zn1 0.000 0.000 0.000
Au1 0.500 0.000 0.000
Cl1 0.136 0.500 0.274
Cl2 0.864 0.500 0.726

=====

Copy entry 1 word for word.
First-principles (GGA-PBE) data for a geometry-optimized Ho8Cd2Ga structure, as listed in Alexandria via LeMat-Bulk.

Summary:
Energy of formation, meV/atom: -177
Crystal system: monoclinic
E, eV per atom: -3.95
Fermi-level density of states, states/eV/atom: 0.88

Cell lengths 9.307, 9.307, 6.927 Å; angles 105.92, 105.92, 32.45 degrees
Fractional positions:
Ho1 0.020 0.020 0.271
Ho2 0.199 0.199 0.800
Ho3 0.339 0.339 0.534
Ho4 0.408 0.408 0.048
Ho5 0.592 0.592 0.952
Ho6 0.661 0.661 0.466
Ho7 0.801 0.801 0.200
Ho8 0.980 0.980 0.729
Cd1 0.184 0.184 0.218
Cd2 0.816 0.816 0.782
Ga1 0.500 0.500 0.500